<one>
First-principles (PBE) data for a relaxed structure of Pt, as listed in OQMD via LeMat-Bulk.

```
Pt
1.0
5.5794 0.0000 0.0000
0.0000 2.7675 0.0000
-0.0041 0.0000 43.3617
Pt
30
Direct
0.6250 0.5000 0.1591
0.8856 0.0000 0.2000
0.3645 0.0000 0.2000
0.1251 0.5000 0.2455
0.6250 0.5000 0.2470
0.8762 0.0000 0.2926
0.3739 0.0000 0.2926
0.1250 0.5000 0.3386
0.6250 0.5000 0.3390
0.8756 0.0000 0.3849
0.3744 0.0000 0.3849
0.1250 0.5000 0.4310
0.6250 0.5000 0.4310
0.3748 0.0000 0.4770
0.8752 0.0000 0.4770
0.1248 0.5000 0.5230
0.6252 0.5000 0.5230
0.3750 0.0000 0.5690
0.8750 0.0000 0.5690
0.6255 0.5000 0.6151
0.1244 0.5000 0.6151
0.3750 0.0000 0.6610
0.8750 0.0000 0.6614
0.6261 0.5000 0.7074
0.1239 0.5000 0.7074
0.3750 0.0000 0.7530
0.8749 0.0000 0.7545
0.6356 0.5000 0.8000
0.1143 0.5000 0.8000
0.3750 0.0000 0.8409
```



<two>
First-principles (PBE) data for a relaxed structure of Pt, as listed in OQMD via LeMat-Bulk.

```
Pt
1.0
-2.2670 -3.5030 0.0000
-2.2670 3.5030 0.0000
0.0000 0.0000 -4.6702
Pt
4
Direct
0.1697 0.8303 0.1012
0.6697 0.3303 0.3988
0.3303 0.6697 0.6012
0.8303 0.1697 0.8988
```



Result of the stability comparison: <two> is the least stable of them.



<one>
First-principles (PBE) data for a relaxed structure of LuBeCuPb, as listed in OQMD via LeMat-Bulk.

```
LuBeCuPb
1.0
0.0000 3.3318 3.3318
3.3318 0.0000 3.3318
3.3318 3.3318 0.0000
Be Cu Lu Pb
1 1 1 1
Direct
0.2500 0.2500 0.2500
0.7500 0.7500 0.7500
0.5000 0.5000 0.5000
0.0000 0.0000 0.0000
```



<two>
First-principles (PBE) data for a relaxed structure of LuBeCuPb, as listed in OQMD via LeMat-Bulk.

```
LuBeCuPb
1.0
-0.7021 -4.5857 1.0850
0.9016 -1.5703 4.4068
-3.5954 -1.2462 2.8669
Be Cu Lu Pb
1 1 1 1
Direct
0.5000 0.5000 0.5000
0.7500 0.7500 0.7500
0.2500 0.2500 0.2500
0.0000 0.0000 0.0000
```



Result of the stability comparison: <two> is the least stable of them.



<one>
First-principles (PBE) data for a relaxed structure of LiPr, as listed in OQMD via LeMat-Bulk.

```
LiPr
1.0
3.4497 0.0000 0.0000
-1.7248 2.9875 0.0000
0.0000 0.0000 5.5815
Li Pr
1 1
Direct
0.6667 0.3333 0.7500
0.3333 0.6667 0.2500
```



<two>
First-principles (PBE) data for a relaxed structure of LiPr, as listed in OQMD via LeMat-Bulk.

```
LiPr
1.0
3.5305 0.0000 0.0000
-1.7653 3.0575 0.0000
0.0000 0.0000 9.9078
Li Pr
2 2
Direct
0.3333 0.6667 0.2500
0.6667 0.3333 0.7500
0.0000 0.0000 0.0000
0.0000 0.0000 0.5000
```



Result of the stability comparison: <two> is the least stable of them.



<one>
First-principles (PBE) data for a relaxed structure of YCoReBi, as listed in OQMD via LeMat-Bulk.

```
YCoReBi
1.0
0.0000 3.3402 3.3402
3.3402 0.0000 3.3402
3.3402 3.3402 0.0000
Bi Co Re Y
1 1 1 1
Direct
0.0000 0.0000 0.0000
0.7500 0.7500 0.7500
0.2500 0.2500 0.2500
0.5000 0.5000 0.5000
```



<two>
First-principles (PBE) data for a relaxed structure of YCoReBi, as listed in OQMD via LeMat-Bulk.

```
YCoReBi
1.0
-0.8153 -4.5671 1.3953
-0.5108 -1.0413 4.7037
-4.3400 -1.2618 1.7442
Bi Co Re Y
1 1 1 1
Direct
0.0000 0.0000 0.0000
0.7500 0.7500 0.7500
0.5000 0.5000 0.5000
0.2500 0.2500 0.2500
```



Result of the stability comparison: <two> is the least stable of them.